CsNpMnO4 PBE+U optimized geometry; total magnetization = 7.000 μB per formula unit; electronic total energy = -112.3 eV/cell; D(E_F) = 7.80 states/eV per cell
1.0
-0.5359 4.5578 6.2528
-4.4735 0.2096 -5.3467
0.4022 -5.7622 4.2347
Cs Np Mn O
2 2 2 8
Cartesian
-4.0231 3.4034 1.9848
-0.5841 -4.3983 3.1559
-0.0669 -0.6022 5.2437
-0.2680 2.2789 3.1264
-2.3036 -0.4974 2.5704
-2.0356 -2.7763 -0.5560
-2.0891 -0.4767 4.9789
-0.1655 0.0334 3.0896
-0.3529 1.6274 5.2763
-2.2486 1.8073 3.3004
-2.3586 -2.8021 1.8403
-4.4417 -1.0283 2.0511
-4.2543 -2.6222 -0.1356
-2.5181 -0.5181 0.1618